## La2Al3GaPd4 (GGA-PBEsol)

Data for a relaxed La2Al3GaPd4 crystal.

Cell lengths 4.399, 4.399, 9.898 Å; angles 90.00, 90.00, 90.00 degrees
Space group P-4m2 (No. 115)
Asymmetric unit:
La  0.000  0.500  0.249
Al  0.000  0.500  0.879
Al  0.500  0.500  0.500
Ga  0.000  0.000  0.500
Pd  0.000  0.000  0.000
Pd  0.000  0.500  0.629
Pd  0.500  0.500  0.000

Output
Density   7.41 g/cm³
E_form   -846 meV/atom
Volume   191.5 Å³ per cell
Crystal system   tetragonal
DOS(E_F)   7.03 states/eV per cell